! PmNd3Tl4Se8 PBE optimized geometry; values from VASP
&SYSTEM
  ibrav = 0, nat = 16, ntyp = 4
/
ATOMIC_SPECIES
Nd 144.24 Nd.upf
Se 78.96 Se.upf
Tl 204.38 Tl.upf
Pm 145.00 Pm.upf
CELL_PARAMETERS angstrom
8.638 0.000 0.000
0.000 9.213 0.398
-4.319 -4.317 6.109
ATOMIC_POSITIONS crystal
Nd 0.000 0.500 0.500
Se 0.263 0.289 0.526
Se 0.737 0.711 0.474
Se 0.739 0.710 0.975
Tl 0.500 0.000 0.500
Se 0.236 0.710 0.472
Nd 0.500 0.500 0.500
Se 0.764 0.290 0.025
Se 0.236 0.710 0.975
Tl 0.000 0.000 0.500
Nd 0.500 0.500 0.000
Tl 0.000 0.000 0.000
Se 0.261 0.290 0.025
Se 0.764 0.290 0.528
Tl 0.500 0.000 0.000
Pm 0.000 0.500 0.000
! electronic total energy	-78.484	eV for the cell shown
! crystal system	trigonal
! symmetry	No. 166
! theoretical density	6.7	g cm⁻³
! volume	501	Å³ per cell

! Pm2NdTl3Se6 PBE optimized geometry; values from VASP
&SYSTEM
  ibrav = 0, nat = 12, ntyp = 4
/
ATOMIC_SPECIES
Se 78.96 Se.upf
Nd 144.24 Nd.upf
Tl 204.38 Tl.upf
Pm 145.00 Pm.upf
CELL_PARAMETERS angstrom
-4.338 -1.178 5.951
6.063 -4.205 -1.086
3.660 6.845 2.466
ATOMIC_POSITIONS crystal
Se 0.070 0.405 0.210
Nd 0.000 0.000 0.000
Se 0.405 0.070 0.210
Se 0.735 0.735 0.210
Tl 0.500 0.500 0.500
Se 0.930 0.595 0.790
Tl 0.166 0.834 0.500
Se 0.595 0.930 0.790
Tl 0.834 0.166 0.500
Pm 0.667 0.333 0.000
Se 0.265 0.265 0.790
Pm 0.333 0.667 0.000
! electronic total energy	-58.868	eV for the cell shown
! crystal system	monoclinic
! symmetry	No. 12
! theoretical density	6.8	g cm⁻³
! volume	374	Å³ per cell

Look up the theoretical density of the first one.
6.7 g cm⁻³

Which of these has the highest electronic total energy?
Pm2NdTl3Se6

Number 2 is which compound?
Pm2NdTl3Se6